First-principles (GGA-PBE) data for PuCd4Pt2 after structural relaxation, as listed in Alexandria via LeMat-Bulk.

extended XYZ file:
```
7
Lattice="4.013 0.000 0.000 0.000 4.189 -0.923 0.000 -0.185 9.128" Properties=species:S:1:pos:R:3 pbc="T T T"
Cd 2.007 3.338 5.182
Cd 0.000 2.799 2.737
Cd 2.007 0.666 3.023
Cd 0.000 1.205 5.468
Pt 2.007 2.371 0.795
Pt 2.007 1.633 7.410
Pu 0.000 0.000 0.000
```

## Properties
Formation enthalpy at 0 K (meV per atom): -306
Volume (Å³ per cell): 153



First-principles (GGA-PBE) data for Dy2Sc2AlGa4 after structural relaxation, as listed in Alexandria via LeMat-Bulk.

extended XYZ file:
```
9
Lattice="-1.870 -5.693 -2.590 6.410 1.215 0.201 -0.940 0.805 6.409" Properties=species:S:1:pos:R:3 pbc="T T T"
Dy 3.788 1.399 4.577
Dy 1.682 0.621 2.032
Sc 3.638 -1.734 0.458
Sc -0.037 -1.939 3.562
Al 0.000 0.000 0.000
Ga 4.551 1.112 1.771
Ga 3.163 -1.303 3.658
Ga 0.919 0.909 4.838
Ga 0.438 -2.369 0.362
```

## Properties
Formation enthalpy at 0 K (meV per atom): -133
Volume (Å³ per cell): 204



First-principles (GGA-PBE) data for Y3Ho2Er6Tm after structural relaxation, as listed in Alexandria via LeMat-Bulk.

extended XYZ file:
```
12
Lattice="6.100 0.003 -0.003 -3.046 5.285 -0.003 -1.008 -1.745 11.510" Properties=species:S:1:pos:R:3 pbc="T T T"
Y -2.026 3.532 5.752
Y 4.072 0.011 5.752
Y 1.023 1.771 5.752
Ho 0.003 3.524 -0.003
Ho 3.051 1.764 -0.003
Er 3.058 1.777 8.651
Er 2.040 3.532 2.851
Er -1.012 1.766 2.853
Er 0.011 3.536 8.651
Er 0.006 0.011 8.653
Er 2.035 0.006 2.853
Tm 0.000 0.000 0.000
```

## Properties
Formation enthalpy at 0 K (meV per atom): 25
Volume (Å³ per cell): 371



First-principles (GGA-PBE) data for Ag2RuCl after structural relaxation, as listed in Alexandria via LeMat-Bulk.

extended XYZ file:
```
4
Lattice="2.268 -2.817 3.063 -2.281 -3.633 2.015 1.080 -4.449 -1.225" Properties=species:S:1:pos:R:3 pbc="T T T"
Ru 0.534 -5.449 1.926
Ag 0.267 -2.725 0.963
Ag 0.801 -8.174 2.889
Cl 0.000 0.000 0.000
```

## Properties
E_form (uncorrected) (eV per formula unit): 3.37
Offset from the most stable computed form (meV per atom): 528
Volume (Å³ per cell): 75



First-principles (GGA-PBE) data for PmReSi2Tc after structural relaxation, as listed in Alexandria via LeMat-Bulk.

extended XYZ file:
```
5
Lattice="4.138 0.000 0.000 0.000 4.138 0.000 -2.069 -2.069 5.181" Properties=species:S:1:pos:R:3 pbc="T T T"
Pm 0.000 0.000 0.000
Re 0.000 2.069 2.590
Si 2.069 2.069 1.277
Si 0.000 0.000 3.904
Tc 2.069 0.000 2.590
```

## Properties
E_form (uncorrected) (eV per formula unit): -2.64
Volume (Å³ per cell): 89



First-principles (GGA-PBE) data for LaTlFe2 after structural relaxation, as listed in Alexandria via LeMat-Bulk.

extended XYZ file:
```
4
Lattice="-4.592 -3.176 1.959 -0.205 -5.851 -0.856 2.963 4.564 2.323" Properties=species:S:1:pos:R:3 pbc="T T T"
Fe -4.620 -8.693 1.062
Fe -2.262 -2.029 2.473
La -2.442 -4.596 0.561
Tl 0.295 -2.684 0.983
```

## Properties
Offset from the most stable computed form (meV per atom): 116
Formation enthalpy at 0 K (meV per atom): 291
Volume (Å³ per cell): 83